Entry 1:
A plane-wave DFT calculation with PBE was carried out for an optimized crystal structure of NaTmPt.

Results
- SG = F-43m, No. 216
- DFT total energy (eV for the cell shown) = -13.5
- ΔE to the lowest computed polymorph (eV per formula unit) = 0.00

abc: 4.704 4.704 4.704
angles: 60.00 60.00 60.00
Element x y z (fractional)
Pt (0.000, 0.000, 0.000)
Na (0.250, 0.250, 0.250)
Tm (0.750, 0.750, 0.750)

Entry 2:
A plane-wave DFT calculation with PBE was carried out for an optimized crystal structure of NaTmPt.

Results
- SG = F-43m, No. 216
- DFT total energy (eV for the cell shown) = -12.4
- ΔE to the lowest computed polymorph (eV per formula unit) = 1.11

abc: 4.701 4.701 4.701
angles: 60.00 60.00 60.00
Element x y z (fractional)
Na (0.250, 0.250, 0.250)
Tm (0.000, 0.000, 0.000)
Pt (0.750, 0.750, 0.750)

Entry 3:
A plane-wave DFT calculation with PBE was carried out for an optimized crystal structure of NaUPt4.

Results
- SG = F-43m, No. 216
- DFT total energy (eV for the cell shown) = -40.2

abc: 5.383 5.383 5.383
angles: 60.00 60.00 60.00
Element x y z (fractional)
Na (0.500, 0.500, 0.500)
Pt (0.376, 0.875, 0.875)
Pt (0.875, 0.376, 0.875)
U (0.250, 0.250, 0.250)
Pt (0.875, 0.875, 0.875)
Pt (0.875, 0.875, 0.376)